## Mg6VH16 (GGA-PBEsol)

Data for a relaxed Mg6VH16 crystal.

**Electronic total energy**: -3.250 eV per atom

a = 9.324 Å, b = 9.324 Å, c = 9.324 Å
α = 90.00°, β = 90.00°, γ = 90.00°
Space group Fm-3m (No. 225)
Asymmetric unit:
Mg 0.000 0.250 0.250 [24 per cell]
V 0.000 0.000 0.000 [4 per cell]
H 0.109 0.109 0.109 [32 per cell]
H 0.143 0.143 0.357 [32 per cell]